[1]
A plane-wave DFT calculation with PBE was carried out for a relaxed ErFeSi2Ni crystal.

Lattice parameters (Å, degrees): 3.871 3.871 9.713 90.00 90.00 90.00
Space group I-4m2 (No. 119)
Inequivalent atoms, fractional coordinates:
Er  0.000  0.000  0.000
Fe  0.000  0.500  0.250
Si  0.000  0.000  0.374
Ni  0.000  0.500  0.750

DFT total energy	-6.622	eV/atom
M_tot	0.02	μB/f.u.

***

[2]
A plane-wave DFT calculation with PBE was carried out for a relaxed RbZrAgS3 crystal.

Lattice parameters (Å, degrees): 3.862 15.020 10.153 90.00 90.00 90.00
Space group Cmcm (No. 63)
Inequivalent atoms, fractional coordinates:
Rb  0.000  0.243  0.250
Zr  0.000  0.500  0.000
Ag  0.000  0.047  0.750
S  0.000  0.117  0.531
S  0.000  0.439  0.750

DFT total energy	-5.251	eV/atom
M_tot	0.01	μB/f.u.

***

[3]
A plane-wave DFT calculation with PBE was carried out for a relaxed NbCdCuPb crystal.

Lattice parameters (Å, degrees): 6.873 6.873 6.873 90.00 90.00 90.00
Space group F-43m (No. 216)
Inequivalent atoms, fractional coordinates:
Nb  0.000  0.000  0.000
Cd  0.250  0.250  0.250
Cu  0.250  0.250  0.750
Pb  0.000  0.000  0.500

DFT total energy	-3.957	eV/atom
M_tot	2.11	μB/f.u.

***

[4]
A plane-wave DFT calculation with PBE was carried out for a relaxed Mg2Sc2ZnCdCu2 crystal.

Lattice parameters (Å, degrees): 4.640 4.640 6.603 90.00 90.00 90.00
Space group P-4m2 (No. 115)
Inequivalent atoms, fractional coordinates:
Mg  0.000  0.500  0.243
Sc  0.000  0.500  0.763
Zn  0.500  0.500  0.000
Cd  0.000  0.000  0.500
Cu  0.000  0.000  0.000
Cu  0.500  0.500  0.500

DFT total energy	-3.404	eV/atom
M_tot	0.00	μB/f.u.

***

[5]
A plane-wave DFT calculation with PBE was carried out for a relaxed Tb5Mg crystal.

Lattice parameters (Å, degrees): 6.4691 6.4691 5.6851 90.00 90.00 120.00
Space group P6/mmm (No. 191)
Inequivalent atoms, fractional coordinates:
Tb  0.0000  0.5000  0.0000
Tb  0.3333  0.6667  0.5000
Mg  0.0000  0.0000  0.5000

DFT total energy	-3.679	eV/atom
M_tot	0.04	μB/f.u.

***

[6]
A plane-wave DFT calculation with PBE was carried out for a relaxed SrMg2GePt crystal.

Lattice parameters (Å, degrees): 4.461 4.461 11.472 90.00 90.00 90.00
Space group I4mm (No. 107)
Inequivalent atoms, fractional coordinates:
Sr  0.000  0.000  0.000
Mg  0.000  0.500  0.250
Ge  0.000  0.000  0.604
Pt  0.000  0.000  0.386

DFT total energy	-3.741	eV/atom
M_tot	0.00	μB/f.u.

***

[7]
A plane-wave DFT calculation with PBE was carried out for a relaxed Tm2PSe crystal.

Lattice parameters (Å, degrees): 3.967 5.607 8.043 90.00 90.00 90.00
Space group Pmmn (No. 59, origin choice 2)
Inequivalent atoms, fractional coordinates:
Tm  0.250  0.250  0.110
Tm  0.250  0.250  0.648
P  0.250  0.750  0.124
Se  0.250  0.750  0.620

DFT total energy	-6.193	eV/atom
M_tot	0.00	μB/f.u.

***

[8]
A plane-wave DFT calculation with PBE was carried out for a relaxed Tb2NdCo2B2N3 crystal.

Lattice parameters (Å, degrees): 3.534 3.534 20.101 90.00 90.00 90.00
Space group I4/mmm (No. 139)
Inequivalent atoms, fractional coordinates:
Tb  0.000  0.000  0.127
Nd  0.000  0.000  0.500
Co  0.000  0.500  0.250
B  0.000  0.000  0.304
N  0.000  0.000  0.000
N  0.000  0.000  0.378

DFT total energy	-7.784	eV/atom
M_tot	0.02	μB/f.u.

***

Q: M_tot of number 7 (Tm2PSe)?
A: 0.00 μB/f.u.